The following is a GGA-PBE calculation of a relaxed structure of Re4RuPb, from the Alexandria database.

## Properties
M_tot	0.0	μB per formula unit
raw total energy	-9.61	eV per atom

Unit cell a=5.2481 b=5.2481 c=5.2481 alpha=60.00 beta=60.00 gamma=60.00
Element x y z (fractional)
1 Re 0.1242 0.1242 0.1242
2 Re 0.1242 0.1242 0.6275
3 Re 0.1242 0.6275 0.1242
4 Re 0.6275 0.1242 0.1242
5 Ru 0.7500 0.7500 0.7500
6 Pb 0.5000 0.5000 0.5000

=====

The following is a GGA-PBE calculation of a relaxed structure of Na3Sn5Pd2, from the Alexandria database.

## Properties
M_tot	0.0	μB per formula unit
raw total energy	-3.75	eV per atom

Unit cell a=10.4259 b=10.4259 c=4.3607 alpha=90.00 beta=90.00 gamma=90.00
Element x y z (fractional)
1 Na 0.0000 0.0000 0.0000
2 Na 0.1730 0.3270 0.0000
3 Na 0.3270 0.8270 0.0000
4 Na 0.5000 0.5000 0.0000
5 Na 0.6730 0.1730 0.0000
6 Na 0.8270 0.6730 0.0000
7 Sn 0.0000 0.5000 0.5000
8 Sn 0.0714 0.7889 0.5000
9 Sn 0.2111 0.0714 0.5000
10 Sn 0.2889 0.5714 0.5000
11 Sn 0.4286 0.2889 0.5000
12 Sn 0.5000 0.0000 0.5000
13 Sn 0.5714 0.7111 0.5000
14 Sn 0.7111 0.4286 0.5000
15 Sn 0.7889 0.9286 0.5000
16 Sn 0.9286 0.2111 0.5000
17 Pd 0.1242 0.6242 0.0000
18 Pd 0.3758 0.1242 0.0000
19 Pd 0.6242 0.8758 0.0000
20 Pd 0.8758 0.3758 0.0000

=====

The following is a GGA-PBE calculation of a relaxed structure of LiPm3Zn8, from the Alexandria database.

## Properties
M_tot	0.0	μB per formula unit
raw total energy	-2.49	eV per atom

Unit cell a=9.5131 b=9.5131 c=9.5131 alpha=33.46 beta=33.46 gamma=33.46
Element x y z (fractional)
1 Li 0.0000 0.0000 0.0000
2 Pm 0.1224 0.1224 0.1224
3 Pm 0.5050 0.5050 0.5050
4 Pm 0.6313 0.6313 0.6313
5 Zn 0.0624 0.5656 0.5656
6 Zn 0.0664 0.0664 0.5667
7 Zn 0.0664 0.5667 0.0664
8 Zn 0.3161 0.3161 0.3161
9 Zn 0.5656 0.0624 0.5656
10 Zn 0.5656 0.5656 0.0624
11 Zn 0.5667 0.0664 0.0664
12 Zn 0.8150 0.8150 0.8150

=====

The following is a GGA-PBE calculation of a relaxed structure of Ac3Nd3Hg2, from the Alexandria database.

## Properties
M_tot	0.0	μB per formula unit
raw total energy	-3.58	eV per atom

Unit cell a=6.8832 b=6.8832 c=17.1518 alpha=90.00 beta=90.00 gamma=134.82
Element x y z (fractional)
1 Ac 0.0456 0.9544 0.6132
2 Ac 0.0456 0.9544 0.8868
3 Ac 0.3248 0.6752 0.7500
4 Ac 0.6752 0.3248 0.2500
5 Ac 0.9544 0.0456 0.1132
6 Ac 0.9544 0.0456 0.3868
7 Nd 0.3599 0.6401 0.5303
8 Nd 0.3599 0.6401 0.9697
9 Nd 0.3928 0.6072 0.2500
10 Nd 0.6072 0.3928 0.7500
11 Nd 0.6401 0.3599 0.0303
12 Nd 0.6401 0.3599 0.4697
13 Hg 0.2236 0.7764 0.1188
14 Hg 0.2236 0.7764 0.3812
15 Hg 0.7764 0.2236 0.6188
16 Hg 0.7764 0.2236 0.8812

=====

The following is a GGA-PBE calculation of a relaxed structure of Y2TlOs, from the Alexandria database.

## Properties
M_tot	0.0	μB per formula unit
raw total energy	-6.67	eV per atom

Unit cell a=4.0451 b=4.0451 c=8.4917 alpha=98.68 beta=98.68 gamma=51.24
Element x y z (fractional)
1 Y 0.2413 0.2413 0.1974
2 Y 0.7587 0.7587 0.8026
3 Tl 0.0000 0.0000 0.5000
4 Os 0.5000 0.5000 0.0000

=====

The following is a GGA-PBE calculation of a relaxed structure of KCu2HgCl6, from the Alexandria database.

## Properties
M_tot	1.1	μB per formula unit
raw total energy	-2.88	eV per atom

Unit cell a=9.2904 b=9.2904 c=7.0701 alpha=100.67 beta=100.67 gamma=89.43
Element x y z (fractional)
1 K 0.1055 0.8945 0.7500
2 K 0.8945 0.1055 0.2500
3 Cu 0.2408 0.3492 0.7483
4 Cu 0.3492 0.2408 0.2483
5 Cu 0.6508 0.7592 0.7517
6 Cu 0.7592 0.6508 0.2517
7 Hg 0.2752 0.7248 0.2500
8 Hg 0.7248 0.2752 0.7500
9 Cl 0.0283 0.2183 0.6841
10 Cl 0.1807 0.5981 0.9254
11 Cl 0.2183 0.0283 0.1841
12 Cl 0.2688 0.4151 0.4655
13 Cl 0.4019 0.8193 0.5746
14 Cl 0.4151 0.2688 0.9655
15 Cl 0.5849 0.7312 0.0345
16 Cl 0.5981 0.1807 0.4254
17 Cl 0.7312 0.5849 0.5345
18 Cl 0.7817 0.9717 0.8159
19 Cl 0.8193 0.4019 0.0746
20 Cl 0.9717 0.7817 0.3159

=====

The following is a GGA-PBE calculation of a relaxed structure of NaVS2, from the Alexandria database.

## Properties
M_tot	2.0	μB per formula unit
raw total energy	-5.59	eV per atom

Unit cell a=6.6569 b=6.6569 c=6.6569 alpha=124.56 beta=124.56 gamma=82.27
Element x y z (fractional)
1 Na 0.0000 0.0000 0.0000
2 Na 0.7500 0.2500 0.5000
3 V 0.2500 0.7500 0.5000
4 V 0.5000 0.5000 0.0000
5 S 0.1948 0.6250 0.0698
6 S 0.3750 0.4448 0.5698
7 S 0.5552 0.1250 0.9302
8 S 0.8750 0.8052 0.4302

=====

The following is a GGA-PBE calculation of a relaxed structure of Li2AgPO4, from the Alexandria database.

## Properties
M_tot	0.0	μB per formula unit
raw total energy	-5.93	eV per atom

Unit cell a=5.1617 b=5.1617 c=5.1617 alpha=123.82 beta=123.82 gamma=83.51
Element x y z (fractional)
1 Li 0.2500 0.7500 0.5000
2 Li 0.7500 0.2500 0.5000
3 Ag 0.0000 0.0000 0.0000
4 P 0.5000 0.5000 0.0000
5 O 0.1967 0.5621 0.0000
6 O 0.4379 0.4379 0.6346
7 O 0.5621 0.1967 0.0000
8 O 0.8033 0.8033 0.3654

=====

The following is a GGA-PBE calculation of a relaxed structure of AlTlAu, from the Alexandria database.

## Properties
M_tot	0.0	μB per formula unit
raw total energy	-3.15	eV per atom

Unit cell a=4.4758 b=4.4758 c=3.9796 alpha=90.00 beta=90.00 gamma=120.00
Element x y z (fractional)
1 Al 0.0000 0.0000 0.0000
2 Tl 0.6667 0.3333 0.5000
3 Au 0.3333 0.6667 0.0000

=====

The following is a GGA-PBE calculation of a relaxed structure of NaFe2Sn2, from the Alexandria database.

## Properties
M_tot	4.1	μB per formula unit
raw total energy	-5.07	eV per atom

Unit cell a=7.1414 b=7.1414 c=7.1414 alpha=148.69 beta=148.69 gamma=44.87
Element x y z (fractional)
1 Na 0.0000 0.0000 0.0000
2 Fe 0.2500 0.7500 0.5000
3 Fe 0.7500 0.2500 0.5000
4 Sn 0.3847 0.3847 0.0000
5 Sn 0.6153 0.6153 0.0000

=====

The following is a GGA-PBE calculation of a relaxed structure of NbB, from the Alexandria database.

## Properties
M_tot	0.0	μB per formula unit
raw total energy	-8.32	eV per atom

Unit cell a=5.8787 b=5.8787 c=5.8787 alpha=98.68 beta=98.68 gamma=134.27
Element x y z (fractional)
1 Nb 0.1327 0.6559 0.7886
2 Nb 0.3441 0.1327 0.4768
3 Nb 0.6559 0.8673 0.5232
4 Nb 0.8673 0.3441 0.2114
5 B 0.1615 0.3614 0.5229
6 B 0.3614 0.8385 0.1999
7 B 0.6386 0.1615 0.8001
8 B 0.8385 0.6386 0.4771

=====

The following is a GGA-PBE calculation of a relaxed structure of TbPr2Ho5Sc, from the Alexandria database.

## Properties
M_tot	0.0	μB per formula unit
raw total energy	-4.67	eV per atom

Unit cell a=10.3487 b=10.3487 c=10.4057 alpha=90.00 beta=90.00 gamma=148.81
Element x y z (fractional)
1 Tb 0.0909 0.9091 0.5000
2 Tb 0.9091 0.0909 0.0000
3 Pr 0.3845 0.6155 0.7751
4 Pr 0.3868 0.6132 0.3549
5 Pr 0.6132 0.3868 0.8549
6 Pr 0.6155 0.3845 0.2751
7 Ho 0.0172 0.9828 0.7813
8 Ho 0.1250 0.8750 0.0598
9 Ho 0.2021 0.7979 0.7429
10 Ho 0.2244 0.7756 0.3616
11 Ho 0.4839 0.5161 0.0582
12 Ho 0.5161 0.4839 0.5582
13 Ho 0.7756 0.2244 0.8616
14 Ho 0.7979 0.2021 0.2429
15 Ho 0.8750 0.1250 0.5598
16 Ho 0.9828 0.0172 0.2813
17 Sc 0.3037 0.6963 0.0549
18 Sc 0.6963 0.3037 0.5549